Record 1
Computed, not measured: a relaxed structure of SiIrS at the GGA-PBE level of DFT.

Results
The value obtained for the calculated total energy is -6.72 eV/atom. The uncorrected formation energy comes out at -0.584 eV per atom.

abc: 5.8997 5.8936 6.0043
angles: 90.00 112.79 90.00
Element x y z (fractional)
Si 0.1543 0.0000 0.1230
Si 0.3387 0.4952 0.4375
Si 0.6613 0.9952 0.5625
Si 0.8457 0.5000 0.8770
Ir 0.2698 0.1293 0.5451
Ir 0.2783 0.6290 0.0442
Ir 0.7217 0.1290 0.9558
Ir 0.7302 0.6293 0.4549
S 0.1549 0.7359 0.6237
S 0.3334 0.2434 0.9427
S 0.6666 0.7434 0.0573
S 0.8451 0.2359 0.3763

***

Record 2
Computed, not measured: a relaxed structure of ErPaAs at the GGA-PBE level of DFT.

Results
The energy relative to the elements comes out at -0.171 eV/atom. The value obtained for the calculated total energy is -6.41 eV/atom.

abc: 4.8774 4.8774 3.6099
angles: 90.00 90.00 120.00
Element x y z (fractional)
Er 0.0000 0.0000 0.0000
Pa 0.3333 0.6667 0.5105
As 0.6667 0.3333 0.8393

***

Record 3
Computed, not measured: a relaxed structure of Tb2SbSe2 at the GGA-PBE level of DFT.

Results
The value obtained for the calculated total energy is -5.32 eV/atom. The uncorrected formation energy comes out at -1.251 eV per atom.

abc: 7.2900 7.2900 6.7022
angles: 110.49 110.49 94.44
Element x y z (fractional)
Tb 0.0976 0.9024 0.7500
Tb 0.3225 0.6775 0.2500
Tb 0.6775 0.3225 0.7500
Tb 0.9024 0.0976 0.2500
Sb 0.3812 0.6188 0.7500
Sb 0.6188 0.3812 0.2500
Se 0.0783 0.2807 0.0314
Se 0.2807 0.0783 0.5314
Se 0.7193 0.9217 0.4686
Se 0.9217 0.7193 0.9686

***

Record 4
Computed, not measured: a relaxed structure of DyY2TmP4 at the GGA-PBE level of DFT.

Results
The energy relative to the elements comes out at -1.619 eV/atom. The value obtained for the calculated total energy is -7.07 eV/atom.

abc: 6.9200 3.9970 6.9204
angles: 90.00 109.46 90.00
Element x y z (fractional)
Dy 0.0000 0.0000 0.0000
Y 0.0000 0.5000 0.5000
Y 0.5000 0.0000 0.5000
Tm 0.5000 0.5000 0.0000
P 0.2510 0.5000 0.2482
P 0.2527 0.0000 0.7532
P 0.7473 0.0000 0.2468
P 0.7490 0.5000 0.7518

***

Record 5
Computed, not measured: a relaxed structure of Ho3ScAl8 at the GGA-PBE level of DFT.

Results
The energy relative to the elements comes out at -0.495 eV/atom. The value obtained for the calculated total energy is -4.66 eV/atom.

abc: 5.4930 5.4930 9.0061
angles: 90.00 90.00 120.00
Element x y z (fractional)
Ho 0.0000 0.0000 0.0000
Ho 0.0000 0.0000 0.3663
Ho 0.3333 0.6667 0.8622
Sc 0.3333 0.6667 0.4995
Al 0.0094 0.5047 0.1841
Al 0.3243 0.1621 0.6783
Al 0.4953 0.5047 0.1841
Al 0.4953 0.9906 0.1841
Al 0.6667 0.3333 0.4322
Al 0.6667 0.3333 0.9299
Al 0.8379 0.1621 0.6783
Al 0.8379 0.6757 0.6783

***

Record 6
Computed, not measured: a relaxed structure of Ac2SbRh3 at the GGA-PBE level of DFT.

Results
The value obtained for the calculated total energy is -6.35 eV/atom. The uncorrected formation energy comes out at -0.620 eV per atom.

abc: 8.9432 8.8744 6.2780
angles: 69.96 68.78 41.26
Element x y z (fractional)
Ac 0.2477 0.7523 0.7523
Ac 0.2500 0.2500 0.2500
Ac 0.7500 0.7500 0.7500
Ac 0.7523 0.2477 0.2477
Sb 0.3321 0.3321 0.6679
Sb 0.6679 0.6679 0.3321
Rh 0.1642 0.1642 0.8358
Rh 0.1661 0.6655 0.3345
Rh 0.3345 0.8339 0.1661
Rh 0.6655 0.1661 0.8339
Rh 0.8339 0.3345 0.6655
Rh 0.8358 0.8358 0.1642

***

Record 7
Computed, not measured: a relaxed structure of La3AlHg2 at the GGA-PBE level of DFT.

Results
The energy relative to the elements comes out at -0.444 eV/atom. The value obtained for the calculated total energy is -3.63 eV/atom.

abc: 8.6940 8.6940 3.8547
angles: 90.00 90.00 143.06
Element x y z (fractional)
La 0.0000 0.0000 0.0000
La 0.3390 0.6610 0.0000
La 0.6610 0.3390 0.0000
Al 0.5000 0.5000 0.5000
Hg 0.1663 0.8337 0.5000
Hg 0.8337 0.1663 0.5000